1.
Crystalline TaGeP2S at its relaxed geometry, computed with PBE-GGA.

Cell: 4.5582 4.5582 4.5480 Å, 90.00 90.00 90.00°
Last column: nearest neighbours and their distance in Å.
Fractional positions:
Ta (0.0000, 0.0000, 0.0000)  8 P 3.22, 4 S 3.22
Ge (0.5000, 0.5000, 0.5000)  2 S 2.27, 4 P 2.28
P (0.0000, 0.5000, 0.5000)  2 Ge 2.28
P (0.5000, 0.0000, 0.5000)  2 Ge 2.28
S (0.5000, 0.5000, 0.0000)  2 Ge 2.27

Summary:
The volume is 18.9 Å³ per atom. As for the calculated total energy: -5.25 eV/atom. The space group is P4/mmm, No. 123. The formation energy without anion corrections is 1.04 eV/atom.

***

2.
Crystalline ThGa5Co3 at its relaxed geometry, computed with PBE-GGA.

Cell: 7.1793 7.1793 8.4727 Å, 120.82 120.82 73.49°
Last column: nearest neighbours and their distance in Å.
Fractional positions:
Th (0.1574, 0.1574, 0.3848)  3 Co 2.50-2.55
Th (0.8426, 0.8426, 0.6152)  3 Co 2.50-2.55
Ga (0.0710, 0.6151, 0.3130)  3 Co 2.38-2.46
Ga (0.2068, 0.2068, 0.9993)  3 Co 2.38-2.47, 1 Ga 2.63
Ga (0.2734, 0.7266, 0.0000)  3 Co 2.35-2.49
Ga (0.3849, 0.9290, 0.6870)  3 Co 2.38-2.46
Ga (0.4966, 0.4966, 0.7585)  4 Co 2.43-2.62, 1 Ga 2.63
Ga (0.5034, 0.5034, 0.2415)  4 Co 2.43-2.62, 1 Ga 2.63
Ga (0.6151, 0.0710, 0.3130)  3 Co 2.38-2.46
Ga (0.7266, 0.2734, 0.0000)  3 Co 2.35-2.49
Ga (0.7932, 0.7932, 0.0007)  3 Co 2.38-2.47, 1 Ga 2.63
Ga (0.9290, 0.3849, 0.6870)  3 Co 2.38-2.46
Co (0.0000, 0.0000, 0.0000)  4 Ga 2.35-2.38, 2 Th 2.52
Co (0.0000, 0.0000, 0.5000)  4 Ga 2.44, 2 Th 2.55
Co (0.3249, 0.3249, 0.8397)  7 Ga 2.45-2.62
Co (0.3717, 0.3717, 0.3782)  1 Co 2.28, 4 Ga 2.38-2.47, 1 Th 2.50
Co (0.6283, 0.6283, 0.6218)  1 Co 2.28, 4 Ga 2.38-2.47, 1 Th 2.50
Co (0.6751, 0.6751, 0.1603)  7 Ga 2.45-2.62

Summary:
The volume is 17.9 Å³ per atom. As for the calculated total energy: -5.07 eV/atom. The space group is C2/m, No. 12.

***

3.
Crystalline KS at its relaxed geometry, computed with PBE-GGA.

Cell: 5.6155 5.6155 4.8499 Å, 90.00 90.00 128.51°
Last column: nearest neighbours and their distance in Å.
Fractional positions:
K (0.1448, 0.8552, 0.7500)  3 S 3.05-3.23
K (0.8552, 0.1448, 0.2500)  3 S 3.05-3.23
S (0.4639, 0.5361, 0.7500)  2 S 2.53
S (0.5361, 0.4639, 0.2500)  2 S 2.53

Summary:
The volume is 29.9 Å³ per atom. As for the calculated total energy: -3.36 eV/atom. The space group is Cmcm, No. 63. The formation energy without anion corrections is -0.75 eV/atom.

***

4.
Crystalline Sc5GeBi4 at its relaxed geometry, computed with PBE-GGA.

Cell: 7.2697 7.2697 7.2697 Å, 99.62 99.62 131.73°
Last column: nearest neighbours and their distance in Å.
Fractional positions:
Sc (0.0000, 0.0000, 0.0000)  2 Ge 2.97, 4 Bi 2.99
Sc (0.2227, 0.4017, 0.6244)  1 Ge 2.76, 5 Bi 2.98-3.08
Sc (0.4017, 0.7773, 0.1790)  1 Ge 2.76, 5 Bi 2.98-3.08
Sc (0.5983, 0.2227, 0.8210)  1 Ge 2.76, 5 Bi 2.98-3.08
Sc (0.7773, 0.5983, 0.3756)  1 Ge 2.76, 5 Bi 2.98-3.08
Ge (0.5000, 0.5000, 0.0000)  6 Sc 2.76-2.97
Bi (0.0912, 0.6944, 0.7857)  6 Sc 2.98-3.08
Bi (0.3056, 0.0912, 0.3968)  6 Sc 2.98-3.08
Bi (0.6944, 0.9088, 0.6032)  6 Sc 2.98-3.08
Bi (0.9088, 0.3056, 0.2143)  6 Sc 2.98-3.08

Summary:
The volume is 26.2 Å³ per atom. As for the calculated total energy: -5.82 eV/atom. The space group is I4/m, No. 87.

***

5.
Crystalline RbTi2Te4 at its relaxed geometry, computed with PBE-GGA.

Cell: 7.3538 7.3538 14.5234 Å, 90.00 90.00 147.63°
Last column: nearest neighbours and their distance in Å.
Fractional positions:
Rb (0.1082, 0.8918, 0.7500)  8 Te 3.52-3.94
Rb (0.8918, 0.1082, 0.2500)  8 Te 3.52-3.94
Ti (0.3718, 0.6282, 0.5679)  6 Te 2.69-2.91
Ti (0.3718, 0.6282, 0.9321)  6 Te 2.69-2.91
Ti (0.6282, 0.3718, 0.0679)  6 Te 2.69-2.91
Ti (0.6282, 0.3718, 0.4321)  6 Te 2.69-2.91
Te (0.0000, 0.0000, 0.0000)  4 Ti 2.91
Te (0.0000, 0.0000, 0.5000)  4 Ti 2.91
Te (0.2619, 0.7381, 0.0967)  3 Ti 2.82-2.85
Te (0.2619, 0.7381, 0.4033)  3 Ti 2.82-2.85
Te (0.4057, 0.5943, 0.7500)  2 Ti 2.69
Te (0.5943, 0.4057, 0.2500)  2 Ti 2.69
Te (0.7381, 0.2619, 0.5967)  3 Ti 2.82-2.85
Te (0.7381, 0.2619, 0.9033)  3 Ti 2.82-2.85

Summary:
The volume is 30.0 Å³ per atom. As for the calculated total energy: -4.86 eV/atom. The space group is Cmcm, No. 63. The formation energy without anion corrections is -0.67 eV/atom.

***

6.
Crystalline Tl3Hg4H2 at its relaxed geometry, computed with PBE-GGA.

Cell: 9.3585 9.3585 11.2439 Å, 122.82 122.82 35.39°
Last column: nearest neighbours and their distance in Å.
Fractional positions:
Tl (0.0596, 0.3405, 0.6000)  2 H 2.02-2.08
Tl (0.1922, 0.8078, 0.7500)  6 Hg 3.38-3.46, 2 Tl 3.51
Tl (0.3405, 0.0596, 0.1000)  2 H 2.02-2.08
Tl (0.6595, 0.9404, 0.9000)  2 H 2.02-2.08
Tl (0.8078, 0.1922, 0.2500)  6 Hg 3.38-3.46, 2 Tl 3.51
Tl (0.9404, 0.6595, 0.4000)  2 H 2.02-2.08
Hg (0.2017, 0.5013, 0.0940)  3 Hg 3.13-3.19, 4 Tl 3.20-3.42, 1 H 3.49
Hg (0.2434, 0.7266, 0.4309)  4 Hg 3.05-3.23, 2 Tl 3.19-3.38
Hg (0.2734, 0.7566, 0.0691)  4 Hg 3.05-3.23, 2 Tl 3.19-3.38
Hg (0.4987, 0.7983, 0.4060)  3 Hg 3.13-3.19, 4 Tl 3.20-3.42, 1 H 3.49
Hg (0.5013, 0.2017, 0.5940)  3 Hg 3.13-3.19, 4 Tl 3.20-3.42, 1 H 3.49
Hg (0.7266, 0.2434, 0.9309)  4 Hg 3.05-3.23, 2 Tl 3.19-3.38
Hg (0.7566, 0.2734, 0.5691)  4 Hg 3.05-3.23, 2 Tl 3.19-3.38
Hg (0.7983, 0.4987, 0.9060)  3 Hg 3.13-3.19, 4 Tl 3.20-3.42, 1 H 3.49
H (0.0981, 0.3436, 0.2437)  2 Tl 2.02-2.08
H (0.3436, 0.0981, 0.7437)  2 Tl 2.02-2.08
H (0.6564, 0.9019, 0.2563)  2 Tl 2.02-2.08
H (0.9019, 0.6564, 0.7563)  2 Tl 2.02-2.08

Summary:
The volume is 26.1 Å³ per atom. As for the calculated total energy: -1.50 eV/atom. The space group is C2/c, No. 15.

***

7.
Crystalline CaLaMgSi at its relaxed geometry, computed with PBE-GGA.

Cell: 5.2903 5.2903 5.2903 Å, 60.00 60.00 60.00°
Last column: nearest neighbours and their distance in Å.
Fractional positions:
Ca (0.0000, 0.0000, 0.0000)  4 Mg 3.24, 4 Si 3.24
La (0.5000, 0.5000, 0.5000)  4 Si 3.24, 4 Mg 3.24
Mg (0.7500, 0.7500, 0.7500)  4 La 3.24, 4 Ca 3.24
Si (0.2500, 0.2500, 0.2500)  4 La 3.24, 4 Ca 3.24

Summary:
The volume is 26.2 Å³ per atom. As for the calculated total energy: -3.74 eV/atom. The space group is F-43m, No. 216. The formation energy without anion corrections is -0.25 eV/atom.

***

8.
Crystalline Ac4Pt at its relaxed geometry, computed with PBE-GGA.

Cell: 8.4904 8.0797 10.1227 Å, 54.21 50.53 75.26°
Last column: nearest neighbours and their distance in Å.
Fractional positions:
Ac (0.2041, 0.2868, 0.9696)  1 Pt 3.02
Ac (0.2132, 0.7868, 0.4463)  2 Pt 2.99-3.05
Ac (0.2804, 0.7106, 0.0459)  1 Pt 3.02
Ac (0.2868, 0.2041, 0.5394)  1 Pt 3.02
Ac (0.6963, 0.8037, 0.4632)  2 Pt 2.99-3.05
Ac (0.7106, 0.2804, 0.9632)  1 Pt 3.02
Ac (0.7868, 0.2132, 0.5537)  2 Pt 2.99-3.05
Ac (0.8037, 0.6963, 0.0368)  2 Pt 2.99-3.05
Pt (0.4952, 0.4952, 0.5048)  6 Ac 2.99-3.05
Pt (0.7452, 0.7452, 0.7548)  6 Ac 2.99-3.05

Summary:
The volume is 42.7 Å³ per atom. As for the calculated total energy: -4.90 eV/atom. The space group is Fdd2, No. 43.

***

9.
Crystalline LiTcP2 at its relaxed geometry, computed with PBE-GGA.

Cell: 3.0375 3.6887 4.7882 Å, 90.00 90.00 90.00°
Last column: nearest neighbours and their distance in Å.
Fractional positions:
Li (0.0000, 0.0000, 0.0000)  6 P 2.36-2.52
Tc (0.5000, 0.5000, 0.6750)  6 P 2.36-2.52
P (0.0000, 0.0000, 0.5073)  2 Li 2.36-2.43, 4 Tc 2.52
P (0.5000, 0.5000, 0.1685)  2 Tc 2.36-2.42, 4 Li 2.52

Summary:
The volume is 13.4 Å³ per atom. As for the calculated total energy: -5.94 eV/atom. The space group is Pmm2, No. 25.

***

10.
Crystalline HgPt2W at its relaxed geometry, computed with PBE-GGA.

Cell: 4.9855 4.9855 2.8381 Å, 90.00 90.00 108.05°
Last column: nearest neighbours and their distance in Å.
Fractional positions:
Hg (0.0000, 0.0000, 0.0000)  2 Hg 2.84, 8 Pt 2.87, 2 W 2.93
Pt (0.0000, 0.5000, 0.5000)  4 Pt 2.84-2.93, 4 Hg 2.87, 4 W 2.87
Pt (0.5000, 0.0000, 0.5000)  4 Pt 2.84-2.93, 4 Hg 2.87, 4 W 2.87
W (0.5000, 0.5000, 0.0000)  2 W 2.84, 8 Pt 2.87, 2 Hg 2.93

Summary:
The volume is 16.8 Å³ per atom. As for the calculated total energy: -6.15 eV/atom. The space group is Cmmm, No. 65.

***

11.
Crystalline KNaPd at its relaxed geometry, computed with PBE-GGA.

Cell: 6.6025 6.6025 6.6025 Å, 146.39 146.39 48.26°
Last column: nearest neighbours and their distance in Å.
Fractional positions:
K (0.0000, 0.0000, 0.0000)  1 Na 3.24, 4 Pd 3.43
Na (0.7311, 0.7311, 0.0000)  4 Pd 2.92, 1 K 3.24
Pd (0.3244, 0.3244, 0.0000)  4 Na 2.92

Summary:
The volume is 29.3 Å³ per atom. As for the calculated total energy: -2.45 eV/atom. The space group is I4mm, No. 107.

***

12.
Crystalline CrSb2Os at its relaxed geometry, computed with PBE-GGA.

Cell: 7.2511 7.2511 7.2511 Å, 131.13 131.13 71.61°
Last column: nearest neighbours and their distance in Å.
Fractional positions:
Cr (0.0000, 0.0000, 0.0000)  4 Sb 2.60
Cr (0.7500, 0.2500, 0.5000)  4 Sb 2.60
Sb (0.1307, 0.6250, 0.0057)  2 Os 2.56, 2 Cr 2.60
Sb (0.3750, 0.3807, 0.5057)  2 Os 2.56, 2 Cr 2.60
Sb (0.6193, 0.1250, 0.9943)  2 Os 2.56, 2 Cr 2.60
Sb (0.8750, 0.8693, 0.4943)  2 Os 2.56, 2 Cr 2.60
Os (0.2500, 0.7500, 0.5000)  4 Sb 2.56
Os (0.5000, 0.5000, 0.0000)  4 Sb 2.56

Summary:
The volume is 26.5 Å³ per atom. As for the calculated total energy: -6.21 eV/atom. The space group is I-42d, No. 122. The formation energy without anion corrections is 1.06 eV/atom.

***

13.
Crystalline Ba4IrPtI2 at its relaxed geometry, computed with PBE-GGA.

Cell: 8.0353 4.6376 8.9504 Å, 90.00 107.28 90.00°
Last column: nearest neighbours and their distance in Å.
Fractional positions:
Ba (0.2247, 0.0000, 0.1977)  2 Ir 3.14, 1 Pt 3.22
Ba (0.2579, 0.5000, 0.8015)  1 Ir 3.10, 2 Pt 3.20
Ba (0.7421, 0.5000, 0.1985)  1 Ir 3.10, 2 Pt 3.20
Ba (0.7753, 0.0000, 0.8023)  2 Ir 3.14, 1 Pt 3.22
Ir (0.0000, 0.5000, 0.0000)  6 Ba 3.10-3.14
Pt (0.5000, 0.0000, 0.0000)  6 Ba 3.20-3.22
I (0.0000, 0.0000, 0.5000)  6 Ba 3.67-3.69
I (0.5000, 0.5000, 0.5000)  6 Ba 3.75-3.77

Summary:
The volume is 39.8 Å³ per atom. As for the calculated total energy: -4.16 eV/atom. The space group is P2/m, No. 10. The formation energy without anion corrections is -0.95 eV/atom.

***

14.
Crystalline TaTe3Os at its relaxed geometry, computed with PBE-GGA.

Cell: 5.1201 5.1201 5.1201 Å, 90.00 90.00 90.00°
Last column: nearest neighbours and their distance in Å.
Fractional positions:
Ta (0.0000, 0.0000, 0.0000)  12 Te 3.62
Te (0.0000, 0.5000, 0.5000)  2 Os 2.56
Te (0.5000, 0.0000, 0.5000)  2 Os 2.56
Te (0.5000, 0.5000, 0.0000)  2 Os 2.56
Os (0.5000, 0.5000, 0.5000)  6 Te 2.56

Summary:
The volume is 26.8 Å³ per atom. As for the calculated total energy: -5.15 eV/atom. The space group is Pm-3m, No. 221. The formation energy without anion corrections is 1.35 eV/atom.

***

15.
Crystalline BaTmTlIn at its relaxed geometry, computed with PBE-GGA.

Cell: 5.6778 5.6778 5.6778 Å, 60.00 60.00 60.00°
Last column: nearest neighbours and their distance in Å.
Fractional positions:
Ba (0.0000, 0.0000, 0.0000)  4 Tl 3.48, 4 In 3.48
Tm (0.5000, 0.5000, 0.5000)  4 Tl 3.48, 4 In 3.48
Tl (0.2500, 0.2500, 0.2500)  4 Ba 3.48, 4 Tm 3.48
In (0.7500, 0.7500, 0.7500)  4 Ba 3.48, 4 Tm 3.48

Summary:
The volume is 32.4 Å³ per atom. As for the calculated total energy: -3.13 eV/atom. The space group is F-43m, No. 216.

***

16.
Crystalline Sc2AlTe at its relaxed geometry, computed with PBE-GGA.

Cell: 3.8760 4.2540 5.7119 Å, 90.00 109.72 90.00°
Last column: nearest neighbours and their distance in Å.
Fractional positions:
Sc (0.0000, 0.0000, 0.0000)  1 Al 2.75, 4 Te 2.93
Sc (0.2733, 0.5000, 0.5494)  4 Al 2.89-2.90, 3 Te 2.96-3.10
Al (0.7438, 0.0000, 0.4894)  5 Sc 2.75-2.90, 2 Te 2.99
Te (0.5495, 0.5000, 0.0998)  7 Sc 2.93-3.10, 2 Al 2.99

Summary:
The volume is 22.2 Å³ per atom. As for the calculated total energy: -5.48 eV/atom. The space group is Pm, No. 6. The formation energy without anion corrections is -0.59 eV/atom.

***

17.
Crystalline RbNbFeTePd at its relaxed geometry, computed with PBE-GGA.

Cell: 9.3018 9.3018 9.3018 Å, 24.90 24.90 24.90°
Last column: nearest neighbours and their distance in Å.
Fractional positions:
Rb (0.0000, 0.0000, 0.0000)  3 Pd 3.39, 3 Te 3.78
Nb (0.4826, 0.4826, 0.4826)  3 Fe 2.53, 3 Pd 2.79
Fe (0.8540, 0.8540, 0.8540)  3 Te 2.51, 3 Nb 2.53, 1 Pd 2.59
Te (0.2230, 0.2230, 0.2230)  3 Fe 2.51
Pd (0.7583, 0.7583, 0.7583)  1 Fe 2.59, 3 Nb 2.79

Summary:
The volume is 25.1 Å³ per atom. As for the calculated total energy: -5.59 eV/atom. The space group is R3m, No. 160. The formation energy without anion corrections is -0.02 eV/atom.

***

18.
Crystalline LiSi2 at its relaxed geometry, computed with PBE-GGA.

Cell: 5.9385 5.9385 5.9385 Å, 90.00 90.00 90.00°
Last column: nearest neighbours and their distance in Å.
Fractional positions:
Li (0.0000, 0.0000, 0.0000)  6 Si 2.48
Li (0.0000, 0.5000, 0.5000)  6 Si 2.48
Li (0.5000, 0.0000, 0.5000)  6 Si 2.48
Li (0.5000, 0.5000, 0.0000)  6 Si 2.48
Si (0.1162, 0.6162, 0.8838)  1 Si 2.39, 3 Li 2.48
Si (0.1162, 0.8838, 0.3838)  1 Si 2.39, 3 Li 2.48
Si (0.3838, 0.1162, 0.8838)  1 Si 2.39, 3 Li 2.48
Si (0.3838, 0.3838, 0.3838)  1 Si 2.39, 3 Li 2.48
Si (0.6162, 0.6162, 0.6162)  1 Si 2.39, 3 Li 2.48
Si (0.6162, 0.8838, 0.1162)  1 Si 2.39, 3 Li 2.48
Si (0.8838, 0.1162, 0.6162)  1 Si 2.39, 3 Li 2.48
Si (0.8838, 0.3838, 0.1162)  1 Si 2.39, 3 Li 2.48

Summary:
The volume is 17.5 Å³ per atom. As for the calculated total energy: -3.51 eV/atom. The space group is Pa-3, No. 205. The formation energy without anion corrections is 0.74 eV/atom.

***

19.
Crystalline LaMg2TaN at its relaxed geometry, computed with PBE-GGA.

Cell: 5.4471 5.4471 5.3308 Å, 90.00 90.00 90.00°
Last column: nearest neighbours and their distance in Å.
Fractional positions:
La (0.0000, 0.0000, 0.0000)  2 Ta 2.67
Mg (0.0000, 0.5000, 0.5000)  2 Ta 2.72
Mg (0.5000, 0.0000, 0.5000)  2 Ta 2.72
Ta (0.0000, 0.0000, 0.5000)  2 La 2.67, 4 Mg 2.72
N (0.5000, 0.5000, 0.0000)  8 Mg 3.81, 4 La 3.85

Summary:
The volume is 31.6 Å³ per atom. As for the calculated total energy: -3.91 eV/atom. The space group is P4/mmm, No. 123. The formation energy without anion corrections is 1.75 eV/atom.

***

20.
Crystalline Tb2PmCuTe5 at its relaxed geometry, computed with PBE-GGA.

Cell: 9.8407 9.8407 12.9095 Å, 90.00 90.00 155.04°
Last column: nearest neighbours and their distance in Å.
Fractional positions:
Tb (0.1069, 0.8931, 0.5000)  8 Te 3.18-3.50
Tb (0.1204, 0.8796, 0.1228)  7 Te 3.14-3.46
Tb (0.8796, 0.1204, 0.6228)  7 Te 3.14-3.46
Tb (0.8931, 0.1069, 0.0000)  8 Te 3.18-3.50
Pm (0.1901, 0.8099, 0.8272)  6 Te 3.00-3.21, 2 Cu 3.21
Pm (0.8099, 0.1901, 0.3272)  6 Te 3.00-3.21, 2 Cu 3.21
Cu (0.4303, 0.5697, 0.2765)  4 Te 2.61-2.65
Cu (0.5697, 0.4303, 0.7765)  4 Te 2.61-2.65
Te (0.0390, 0.9610, 0.8842)  2 Cu 2.61
Te (0.2888, 0.7112, 0.5000)  2 Pm 3.11, 2 Tb 3.18
Te (0.3199, 0.6801, 0.1531)  1 Cu 2.65
Te (0.3572, 0.6428, 0.8168)  1 Pm 3.21, 4 Tb 3.25-3.31
Te (0.4991, 0.5009, 0.6036)  1 Cu 2.61
Te (0.5009, 0.4991, 0.1036)  1 Cu 2.61
Te (0.6428, 0.3572, 0.3168)  1 Pm 3.21, 4 Tb 3.25-3.31
Te (0.6801, 0.3199, 0.6531)  1 Cu 2.65
Te (0.7112, 0.2888, 0.0000)  2 Pm 3.11, 2 Tb 3.18
Te (0.9610, 0.0390, 0.3842)  2 Cu 2.61

Summary:
The volume is 29.3 Å³ per atom. As for the calculated total energy: -4.89 eV/atom. The space group is Cmc2_1, No. 36. The formation energy without anion corrections is -1.13 eV/atom.